Below is a relaxed structure of RbNaGaPb, with properties calculated at the PBE-GGA level.

extended XYZ file:
```
4
Lattice="-0.9254 -1.0562 5.4088 -4.3980 -3.0888 1.5311 0.7714 -5.1560 2.0119" Properties=species:S:1:pos:R:3 pbc="T T T"
Ga -1.1380 -2.3252 2.2380
Rb -2.2760 -4.6505 4.4759
Na -3.4140 -6.9757 6.7139
Pb 0.0000 0.0000 0.0000
```

Computed properties:
- Formation enthalpy at 0 K: 13.2 meV per atom
- Space-group type: No. 216
- Calculated total energy: -2.242 eV per atom